[1]
{
  "formula": "Ga2PAu",
  "functional": "PBE",
  "state": "optimized geometry",
  "m_tot_mub_per_atom": 0.0000,
  "crystal_system": "tetragonal",
  "e_form_ev_per_atom": -0.09,
  "lattice_angstrom": [[-3.352, -1.827, 4.822], [0.313, -5.813, -1.985], [2.434, -4.462, 3.923]],
  "species": ["P", "P", "Au", "Au", "Ga", "Ga", "Ga", "Ga"],
  "fractional_positions": [[0.500, 0.500, 0.000], [0.250, 0.750, 0.500], [0.000, 0.000, 0.000], [0.750, 0.250, 0.500], [0.601, 0.125, 0.250], [0.149, 0.625, 0.250], [0.375, 0.399, 0.750], [0.875, 0.851, 0.750]]
}

---

[2]
{
  "formula": "Cs2KRb",
  "functional": "PBE",
  "state": "optimized geometry",
  "m_tot_mub_per_atom": 0.0000,
  "crystal_system": "cubic",
  "e_form_ev_per_atom": 0.00,
  "de_polymorph_kj_per_mol_fu": 1,
  "lattice_angstrom": [[-1.124, -7.528, -3.002], [-5.739, -1.324, -5.680], [2.181, -1.701, -7.701]],
  "species": ["Cs", "Cs", "K", "Rb"],
  "fractional_positions": [[0.250, 0.250, 0.250], [0.750, 0.750, 0.750], [0.000, 0.000, 0.000], [0.500, 0.500, 0.500]]
}

---

[3]
{
  "formula": "K2TcAu",
  "functional": "PBE",
  "state": "optimized geometry",
  "m_tot_mub_per_atom": 0.7534,
  "crystal_system": "orthorhombic",
  "e_form_ev_per_atom": 0.94,
  "de_polymorph_kj_per_mol_fu": 124,
  "lattice_angstrom": [[6.042, 0.003, 0.000], [-3.034, 5.224, 0.000], [0.000, 0.000, 3.369]],
  "species": ["Au", "K", "K", "Tc"],
  "fractional_positions": [[0.000, 0.500, 0.500], [0.000, 0.000, 0.000], [0.500, 0.500, 0.000], [0.500, 0.000, 0.500]]
}

---

[4]
{
  "formula": "V2Bi2Br",
  "functional": "PBE",
  "state": "optimized geometry",
  "m_tot_mub_per_atom": 0.0000,
  "e_form_raw_ev_per_atom": 0.3217,
  "crystal_system": "tetragonal",
  "de_polymorph_kj_per_mol_fu": 0,
  "lattice_angstrom": [[-1.632, 6.860, 3.593], [-2.896, -3.946, 6.219], [3.360, -0.015, 1.555]],
  "species": ["Bi", "Bi", "Bi", "Bi", "Br", "Br", "V", "V", "V", "V"],
  "fractional_positions": [[0.162, 0.662, 0.500], [0.662, 0.838, 0.500], [0.838, 0.338, 0.500], [0.338, 0.162, 0.500], [0.000, 0.000, 0.000], [0.500, 0.500, 0.000], [0.395, 0.895, 0.000], [0.895, 0.605, 0.000], [0.605, 0.105, 0.000], [0.105, 0.395, 0.000]]
}

---

[5]
{
  "formula": "Rb2InGa3Sn4",
  "functional": "PBE",
  "state": "optimized geometry",
  "m_tot_mub_per_atom": 0.0000,
  "crystal_system": "tetragonal",
  "e_form_ev_per_atom": -0.15,
  "lattice_angstrom": [[5.086, 0.000, 0.000], [0.000, 5.086, 0.000], [0.000, 0.000, 11.433]],
  "species": ["Rb", "Rb", "In", "Ga", "Ga", "Ga", "Sn", "Sn", "Sn", "Sn"],
  "fractional_positions": [[0.500, 0.000, 0.250], [0.000, 0.500, 0.750], [0.500, 0.500, 0.500], [0.000, 0.000, 0.500], [0.500, 0.000, 0.877], [0.000, 0.500, 0.123], [0.500, 0.500, 0.000], [0.000, 0.000, 0.000], [0.500, 0.000, 0.634], [0.000, 0.500, 0.366]]
}

---

[6]
{
  "formula": "NbZnIr2Ru",
  "functional": "PBE",
  "state": "optimized geometry",
  "m_tot_mub_per_atom": 0.0000,
  "crystal_system": "tetragonal",
  "e_form_ev_per_atom": 1.44,
  "lattice_angstrom": [[-1.543, 3.333, 2.459], [-0.220, -2.792, 3.646], [4.137, 1.106, 1.096]],
  "species": ["Ru", "Nb", "Ir", "Ir", "Zn"],
  "fractional_positions": [[0.500, 0.500, 0.500], [0.000, 0.500, 0.000], [0.000, 0.000, 0.500], [0.500, 0.000, 0.000], [0.000, 0.000, 0.000]]
}

---

[7]
{
  "formula": "La7NdMg2",
  "functional": "PBE",
  "state": "optimized geometry",
  "m_tot_mub_per_atom": 0.0000,
  "crystal_system": "triclinic",
  "e_form_ev_per_atom": 0.02,
  "de_polymorph_kj_per_mol_fu": 0,
  "lattice_angstrom": [[3.611, 0.091, 0.337], [0.033, 12.115, -3.146], [0.940, -1.547, 8.356]],
  "species": ["La", "La", "La", "La", "La", "La", "La", "Nd", "Mg", "Mg"],
  "fractional_positions": [[0.159, 0.597, 0.198], [0.841, 0.403, 0.802], [0.504, 0.175, 0.413], [0.496, 0.825, 0.587], [0.233, 0.287, 0.093], [0.767, 0.713, 0.907], [0.500, 0.500, 0.500], [0.000, 0.000, 0.000], [0.127, 0.904, 0.297], [0.873, 0.096, 0.703]]
}

---

[8]
{
  "formula": "ErLuCdPd",
  "functional": "PBE",
  "state": "optimized geometry",
  "m_tot_mub_per_atom": 0.0024,
  "crystal_system": "cubic",
  "e_form_ev_per_atom": -0.58,
  "lattice_angstrom": [[5.051, 0.000, 0.000], [2.525, 4.374, 0.000], [2.525, 1.458, 4.124]],
  "species": ["Cd", "Lu", "Pd", "Er"],
  "fractional_positions": [[0.750, 0.750, 0.750], [0.000, 0.000, 0.000], [0.250, 0.250, 0.250], [0.500, 0.500, 0.500]]
}